Entry 1:
DFT (PBE-GGA) results for an optimized crystal structure of Ce2ZnF.

The structure belongs to space group R-3m (No. 166, hexagonal axes); the cell edges are 3.0854, 3.0854 and 30.8176 Å and the angles 90.00°, 90.00° and 120.00°. The distinct sites, in fractional coordinates, are Ce at (0.0000, 0.0000, 0.1014), Zn at (0.0000, 0.0000, 0.0000) and F at (0.0000, 0.0000, 0.5000).

The value obtained for the electronic total energy is -18.30 eV/f.u. Its uncorrected formation energy is -0.821 eV per atom. For the energy above the lowest structure with this stoichiometry, the calculation gives 0.217 eV per atom.

---

Entry 2:
DFT (PBE-GGA) results for an optimized crystal structure of CeZr2F11.

The structure belongs to space group Ibam (No. 72); the cell edges are 7.897, 10.213 and 11.128 Å and the angles 90.00°, 90.00° and 90.00°. The distinct sites, in fractional coordinates, are Ce at (0.000, 0.000, 0.250), Zr at (0.133, 0.319, 0.000), F at (0.000, 0.500, 0.000), F at (0.102, 0.185, 0.137), F at (0.130, 0.281, 0.500) and F at (0.235, 0.077, 0.370).

The value obtained for the electronic total energy is -96.60 eV/f.u. Its uncorrected formation energy is -3.785 eV per atom.